(1)
VASP calculation (GGA-PBE) on a geometry-optimized CdHg2Ir structure.

- E above lowest polymorph: 255 meV per atom
- Magnetization: 0.00 μB/f.u.
- Energy of formation from the pure elements: 0.455 eV/atom

CIF file:
```
data_CdHg2Ir
_chemical_formula_sum 'Cd4 Hg8 Ir4'
_cell_length_a 4.144
_cell_length_b 4.144
_cell_length_c 19.879
_cell_angle_alpha 90.00
_cell_angle_beta 90.00
_cell_angle_gamma 90.00
_space_group_name_H-M_alt 'I -4 2 d'
_space_group_IT_number 122
_space_group_name_Hall 'I -4 2bw'
loop_
_atom_site_label
_atom_site_type_symbol
_atom_site_fract_x
_atom_site_fract_y
_atom_site_fract_z
Cd1 Cd 0.000 0.000 0.000
Hg1 Hg 0.233 0.250 0.625
Ir1 Ir 0.000 0.000 0.500
```

***

(2)
VASP calculation (GGA-PBE) on a geometry-optimized Nd2ZnF8 structure.

- E_form (uncorrected): -339.2 kJ per mole of atoms
- Magnetization: 0.17 μB/f.u.

CIF file:
```
data_Nd2ZnF8
_chemical_formula_sum 'Nd4 Zn2 F16'
_cell_length_a 7.383
_cell_length_b 10.997
_cell_length_c 4.389
_cell_angle_alpha 90.00
_cell_angle_beta 104.19
_cell_angle_gamma 90.00
_space_group_name_H-M_alt 'C 1 2/m 1'
_space_group_IT_number 12
loop_
_space_group_symop_operation_xyz
'x,y,z'
'-x,-y,-z'
'-x,y,-z'
'x,-y,z'
'x+1/2,y+1/2,z'
'-x+1/2,-y+1/2,-z'
'-x+1/2,y+1/2,-z'
'x+1/2,-y+1/2,z'
loop_
_atom_site_label
_atom_site_type_symbol
_atom_site_fract_x
_atom_site_fract_y
_atom_site_fract_z
Nd1 Nd 0.000 0.172 0.000
Zn1 Zn 0.000 0.500 0.000
F1 F 0.000 0.239 0.500
F2 F 0.120 0.000 0.284
F3 F 0.183 0.366 0.057
```

***

(3)
VASP calculation (GGA-PBE) on a geometry-optimized Y2Be2SiRh5 structure.

- E_form (uncorrected): -80.5 kJ per mole of atoms
- Magnetization: 0.00 μB/f.u.

CIF file:
```
data_Y2Be2SiRh5
_chemical_formula_sum 'Y4 Be4 Si2 Rh10'
_cell_length_a 9.646
_cell_length_b 9.646
_cell_length_c 3.147
_cell_angle_alpha 90.00
_cell_angle_beta 90.00
_cell_angle_gamma 90.00
_space_group_name_H-M_alt 'P 4/m b m'
_space_group_IT_number 127
_space_group_name_Hall '-P 4 2ab'
loop_
_atom_site_label
_atom_site_type_symbol
_atom_site_fract_x
_atom_site_fract_y
_atom_site_fract_z
Y1 Y 0.176 0.324 0.000
Be1 Be 0.122 0.622 0.000
Si1 Si 0.000 0.000 0.000
Rh1 Rh 0.000 0.500 0.500
Rh2 Rh 0.065 0.795 0.500
```

***

(4)
VASP calculation (GGA-PBE) on a geometry-optimized W2AuSe structure.

- E_form (uncorrected): 80.9 kJ per mole of atoms
- Magnetization: 0.00 μB/f.u.

CIF file:
```
data_W2AuSe
_chemical_formula_sum 'W4 Au2 Se2'
_cell_length_a 4.070
_cell_length_b 4.070
_cell_length_c 8.162
_cell_angle_alpha 90.00
_cell_angle_beta 90.00
_cell_angle_gamma 90.00
_space_group_name_H-M_alt 'I -4 m 2'
_space_group_IT_number 119
_space_group_name_Hall 'I -4 -2'
loop_
_atom_site_label
_atom_site_type_symbol
_atom_site_fract_x
_atom_site_fract_y
_atom_site_fract_z
W1 W 0.000 0.000 0.000
W2 W 0.000 0.500 0.250
Au1 Au 0.000 0.500 0.750
Se1 Se 0.000 0.000 0.500
```

***

(5)
VASP calculation (GGA-PBE) on a geometry-optimized Ca3SbN structure.

- E_form (uncorrected): 56.5 kJ per mole of atoms
- Magnetization: 0.00 μB/f.u.

CIF file:
```
data_Ca3SbN
_chemical_formula_sum 'Ca3 Sb1 N1'
_cell_length_a 5.754
_cell_length_b 5.754
_cell_length_c 5.754
_cell_angle_alpha 90.00
_cell_angle_beta 90.00
_cell_angle_gamma 90.00
_space_group_name_H-M_alt 'P m -3 m'
_space_group_IT_number 221
_space_group_name_Hall '-P 4 2 3'
loop_
_atom_site_label
_atom_site_type_symbol
_atom_site_fract_x
_atom_site_fract_y
_atom_site_fract_z
Ca1 Ca 0.000 0.000 0.500
Sb1 Sb 0.000 0.000 0.000
N1 N 0.500 0.500 0.500
```

***

(6)
VASP calculation (GGA-PBE) on a geometry-optimized Cs3BCl6 structure.

- E_form (uncorrected): -119.0 kJ per mole of atoms
- E above lowest polymorph: 325 meV per atom
- Magnetization: 0.00 μB/f.u.

CIF file:
```
data_Cs3BCl6
_chemical_formula_sum 'Cs6 B2 Cl12'
_cell_length_a 7.544
_cell_length_b 7.544
_cell_length_c 11.443
_cell_angle_alpha 90.00
_cell_angle_beta 90.00
_cell_angle_gamma 90.00
_space_group_name_H-M_alt 'I 4/m m m'
_space_group_IT_number 139
_space_group_name_Hall '-I 4 2'
loop_
_atom_site_label
_atom_site_type_symbol
_atom_site_fract_x
_atom_site_fract_y
_atom_site_fract_z
Cs1 Cs 0.000 0.000 0.000
Cs2 Cs 0.000 0.500 0.250
B1 B 0.000 0.000 0.500
Cl1 Cl 0.000 0.000 0.286
Cl2 Cl 0.194 0.194 0.500
```

***

(7)
VASP calculation (GGA-PBE) on a geometry-optimized TlInTe2 structure.

- E_form (uncorrected): -35.3 kJ per mole of atoms
- Magnetization: 0.00 μB/f.u.

CIF file:
```
data_TlInTe2
_chemical_formula_sum 'Tl4 In4 Te8'
_cell_length_a 8.688
_cell_length_b 8.688
_cell_length_c 7.303
_cell_angle_alpha 90.00
_cell_angle_beta 90.00
_cell_angle_gamma 90.00
_space_group_name_H-M_alt 'I 4/m c m'
_space_group_IT_number 140
_space_group_name_Hall '-I 4 2c'
loop_
_atom_site_label
_atom_site_type_symbol
_atom_site_fract_x
_atom_site_fract_y
_atom_site_fract_z
Tl1 Tl 0.000 0.000 0.250
In1 In 0.000 0.500 0.250
Te1 Te 0.180 0.320 0.000
```

***

(8)
VASP calculation (GGA-PBE) on a geometry-optimized ZnHgTe2 structure.

- E_form (uncorrected): -6.3 kJ per mole of atoms
- Magnetization: 0.00 μB/f.u.

CIF file:
```
data_ZnHgTe2
_chemical_formula_sum 'Zn1 Hg1 Te2'
_cell_length_a 4.242
_cell_length_b 4.242
_cell_length_c 5.933
_cell_angle_alpha 90.00
_cell_angle_beta 90.00
_cell_angle_gamma 90.00
_space_group_name_H-M_alt 'P 4/m m m'
_space_group_IT_number 123
_space_group_name_Hall '-P 4 2'
loop_
_atom_site_label
_atom_site_type_symbol
_atom_site_fract_x
_atom_site_fract_y
_atom_site_fract_z
Zn1 Zn 0.000 0.000 0.000
Hg1 Hg 0.500 0.500 0.500
Te1 Te 0.000 0.000 0.500
Te2 Te 0.500 0.500 0.000
```

***

(9)
VASP calculation (GGA-PBE) on a geometry-optimized YSi2W structure.

- E_form (uncorrected): 13.0 kJ per mole of atoms
- E above lowest polymorph: 481 meV per atom
- Magnetization: 0.00 μB/f.u.

CIF file:
```
data_YSi2W
_chemical_formula_sum 'Y2 Si4 W2'
_cell_length_a 5.809
_cell_length_b 6.928
_cell_length_c 3.472
_cell_angle_alpha 90.00
_cell_angle_beta 90.00
_cell_angle_gamma 90.00
_space_group_name_H-M_alt 'C m m m'
_space_group_IT_number 65
_space_group_name_Hall '-C 2 2'
loop_
_atom_site_label
_atom_site_type_symbol
_atom_site_fract_x
_atom_site_fract_y
_atom_site_fract_z
Y1 Y 0.000 0.000 0.000
Si1 Si 0.250 0.250 0.500
W1 W 0.000 0.500 0.000
```

***

(10)
VASP calculation (GGA-PBE) on a geometry-optimized ScZnMoS2 structure.

- E_form (uncorrected): 3.1 kJ per mole of atoms
- Magnetization: 0.00 μB/f.u.

CIF file:
```
data_ScZnMoS2
_chemical_formula_sum 'Sc1 Zn1 Mo1 S2'
_cell_length_a 4.635
_cell_length_b 4.635
_cell_length_c 5.248
_cell_angle_alpha 90.00
_cell_angle_beta 90.00
_cell_angle_gamma 90.00
_space_group_name_H-M_alt 'P 4/m m m'
_space_group_IT_number 123
_space_group_name_Hall '-P 4 2'
loop_
_atom_site_label
_atom_site_type_symbol
_atom_site_fract_x
_atom_site_fract_y
_atom_site_fract_z
Sc1 Sc 0.000 0.000 0.000
Zn1 Zn 0.500 0.500 0.000
Mo1 Mo 0.000 0.000 0.500
S1 S 0.000 0.500 0.500
```

***

(11)
VASP calculation (GGA-PBE) on a geometry-optimized ErCu2Cl6 structure.

- E_form (uncorrected): -122.0 kJ per mole of atoms
- Magnetization: 0.99 μB/f.u.

CIF file:
```
data_ErCu2Cl6
_chemical_formula_sum 'Er4 Cu8 Cl24'
_cell_length_a 13.516
_cell_length_b 12.274
_cell_length_c 6.678
_cell_angle_alpha 90.00
_cell_angle_beta 107.72
_cell_angle_gamma 90.00
_space_group_name_H-M_alt 'C 1 2/c 1'
_space_group_IT_number 15
loop_
_space_group_symop_operation_xyz
'x,y,z'
'-x,-y,-z'
'-x,y,-z+1/2'
'x,-y,z+1/2'
'x+1/2,y+1/2,z'
'-x+1/2,-y+1/2,-z'
'-x+1/2,y+1/2,-z+1/2'
'x+1/2,-y+1/2,z+1/2'
loop_
_atom_site_label
_atom_site_type_symbol
_atom_site_fract_x
_atom_site_fract_y
_atom_site_fract_z
Er1 Er 0.000 0.088 0.250
Cu1 Cu 0.080 0.410 0.148
Cl1 Cl 0.111 0.432 0.512
Cl2 Cl 0.116 0.062 0.641
Cl3 Cl 0.118 0.233 0.143
```

***

(12)
VASP calculation (GGA-PBE) on a geometry-optimized SrAcZnRh structure.

- E above lowest polymorph: 159 meV per atom
- Magnetization: 0.00 μB/f.u.
- Energy of formation from the pure elements: -0.272 eV/atom

CIF file:
```
data_SrAcZnRh
_chemical_formula_sum 'Sr4 Ac4 Zn4 Rh4'
_cell_length_a 7.530
_cell_length_b 7.530
_cell_length_c 7.530
_cell_angle_alpha 90.00
_cell_angle_beta 90.00
_cell_angle_gamma 90.00
_space_group_name_H-M_alt 'F -4 3 m'
_space_group_IT_number 216
_space_group_name_Hall 'F -4 2 3'
loop_
_atom_site_label
_atom_site_type_symbol
_atom_site_fract_x
_atom_site_fract_y
_atom_site_fract_z
Sr1 Sr 0.000 0.000 0.000
Ac1 Ac 0.000 0.000 0.500
Zn1 Zn 0.250 0.250 0.250
Rh1 Rh 0.250 0.250 0.750
```